Ce3Ge2Os2: relaxed, PBE.

Summary:
E_form: -0.534 eV per atom
Space-group type: Pbcm (57)

CIF file:
```
data_Ce3Ge2Os2
_space_group_name_H-M_alt 'P 1'
_space_group_IT_number 1
_cell_length_a 5.585
_cell_length_b 8.004
_cell_length_c 13.429
_cell_angle_alpha 90.00
_cell_angle_beta 90.00
_cell_angle_gamma 90.00
loop_
_space_group_symop_operation_xyz
'x,y,z'
loop_
_atom_site_label
_atom_site_fract_x
_atom_site_fract_y
_atom_site_fract_z
Ce1 0.157 0.600 0.096
Ce2 0.843 0.400 0.596
Ce3 0.843 0.100 0.404
Ce4 0.157 0.900 0.904
Ce5 0.843 0.400 0.904
Ce6 0.157 0.600 0.404
Ce7 0.157 0.900 0.596
Ce8 0.843 0.100 0.096
Ce9 0.378 0.237 0.250
Ce10 0.622 0.763 0.750
Ce11 0.622 0.737 0.250
Ce12 0.378 0.263 0.750
Ge1 0.352 0.250 0.000
Ge2 0.648 0.750 0.500
Ge3 0.648 0.750 0.000
Ge4 0.352 0.250 0.500
Ge5 0.878 0.390 0.250
Ge6 0.122 0.610 0.750
Ge7 0.122 0.890 0.250
Ge8 0.878 0.110 0.750
Os1 0.639 0.462 0.092
Os2 0.361 0.538 0.592
Os3 0.361 0.962 0.408
Os4 0.639 0.038 0.908
Os5 0.361 0.538 0.908
Os6 0.639 0.462 0.408
Os7 0.639 0.038 0.592
Os8 0.361 0.962 0.092
```